[1]
Density functional theory data (PBE) for a relaxed LaYTm2 crystal.

The value obtained for the energy of formation is 0.013 eV per atom. The calculation puts the energy above the most stable polymorph in this dataset at 0 meV/atom. The calculation puts the total energy at -60.9 eV per cell.

The space group is R3m (No. 160, hexagonal axes) and the conventional cell measures 3.6012, 3.6012 and 34.4797 Å, with angles of 90.00, 90.00 and 120.00 degrees. The inequivalent atoms are La at (0.0000, 0.0000, 0.0000), Y at (0.0000, 0.0000, 0.1656), Tm at (0.0000, 0.0000, 0.4176) and Tm at (0.0000, 0.0000, 0.5811).

[2]
Density functional theory data (PBE) for a relaxed CaSi2Os crystal.

The value obtained for the raw formation energy is -0.05 eV/atom. The calculation puts the total energy at -48.5 eV per cell.

The space group is Cm (No. 8) and the conventional cell measures 11.1627, 3.0050 and 5.7340 Å, with angles of 90.00, 120.78 and 90.00 degrees. The inequivalent atoms are Ca at (0.0000, 0.0000, 0.0000), Si at (0.1943, 0.5000, 0.5579), Si at (0.2950, 0.5000, 0.2909) and Os at (0.2451, 0.0000, 0.9261).

[3]
Density functional theory data (PBE) for a relaxed Mn2Se3 crystal.

The value obtained for the raw formation energy is -0.42 eV/atom. The calculation puts the total energy at -30.9 eV per cell.

The space group is P-3m1 (No. 164) and the conventional cell measures 3.6610, 3.6610 and 9.4280 Å, with angles of 90.00, 90.00 and 120.00 degrees. The inequivalent atoms are Mn at (0.3333, 0.6667, 0.3246), Se at (0.0000, 0.0000, 0.5000) and Se at (0.3333, 0.6667, 0.8162).

[4]
Density functional theory data (PBE) for a relaxed Y2TaSb crystal.

The value obtained for the raw formation energy is -0.01 eV/atom. The calculation puts the total energy at -57.9 eV per cell.

The space group is I4/mmm (No. 139) and the conventional cell measures 4.5238, 4.5238 and 9.5457 Å, with angles of 90.00, 90.00 and 90.00 degrees. The inequivalent atoms are Y at (0.0000, 0.5000, 0.2500), Ta at (0.0000, 0.0000, 0.0000) and Sb at (0.0000, 0.0000, 0.5000).

[5]
Density functional theory data (PBE) for a relaxed LiZn6Os crystal.

The value obtained for the energy of formation is 0.385 eV per atom. The calculation puts the total energy at -53.1 eV per cell.

The space group is R-3m (No. 166, hexagonal axes) and the conventional cell measures 7.2503, 7.2503 and 9.2456 Å, with angles of 90.00, 90.00 and 120.00 degrees. The inequivalent atoms are Li at (0.0000, 0.0000, 0.0000), Zn at (0.0852, 0.5426, 0.3804) and Os at (0.0000, 0.0000, 0.5000).

[6]
Density functional theory data (PBE) for a relaxed TbTm2PaP4 crystal.

The value obtained for the energy of formation is -1.537 eV per atom. The calculation puts the total energy at -57.0 eV per cell.

The space group is P2/m (No. 10) and the conventional cell measures 6.8498, 3.9747 and 6.8738 Å, with angles of 90.00, 109.50 and 90.00 degrees. The inequivalent atoms are Tb at (0.0000, 0.0000, 0.0000), Tm at (0.5000, 0.0000, 0.5000), Tm at (0.5000, 0.5000, 0.0000), Pa at (0.0000, 0.5000, 0.5000), P at (0.2514, 0.0000, 0.7479) and P at (0.2518, 0.5000, 0.2553).

[7]
Density functional theory data (PBE) for a relaxed Ho2Ag2AuO6 crystal.

The value obtained for the raw formation energy is -1.53 eV/atom. The calculation puts the total energy at -129.5 eV per cell.

The space group is C2/m (No. 12) and the conventional cell measures 5.8297, 10.4424 and 6.3611 Å, with angles of 90.00, 98.62 and 90.00 degrees. The inequivalent atoms are Ho at (0.0000, 0.1612, 0.0000), Ag at (0.0000, 0.3400, 0.5000), Au at (0.0000, 0.5000, 0.0000), O at (0.1303, 0.3338, 0.8236) and O at (0.1661, 0.0000, 0.8461).

[8]
Density functional theory data (PBE) for a relaxed ZrBeRu3 crystal.

The value obtained for the energy of formation is -0.074 eV per atom. The calculation puts the energy above the most stable polymorph in this dataset at 0 meV/atom. The calculation puts the total energy at -40.5 eV per cell.

The space group is Pm-3m (No. 221) and the conventional cell measures 4.1784, 4.1784 and 4.1784 Å, with angles of 90.00, 90.00 and 90.00 degrees. The inequivalent atoms are Zr at (0.0000, 0.0000, 0.0000), Be at (0.5000, 0.5000, 0.5000) and Ru at (0.0000, 0.5000, 0.5000).

[9]
Density functional theory data (PBE) for a relaxed Zr4CoNi crystal.

The value obtained for the energy of formation is -0.287 eV per atom. The calculation puts the energy above the most stable polymorph in this dataset at 0 meV/atom. The calculation puts the total energy at -97.6 eV per cell.

The space group is I422 (No. 97) and the conventional cell measures 6.4363, 6.4363 and 5.3554 Å, with angles of 90.00, 90.00 and 90.00 degrees. The inequivalent atoms are Zr at (0.1662, 0.3338, 0.2500), Co at (0.0000, 0.0000, 0.5000) and Ni at (0.0000, 0.0000, 0.0000).

[10]
Density functional theory data (PBE) for a relaxed PrGePbAu crystal.

The value obtained for the energy of formation is -0.374 eV per atom. The calculation puts the total energy at -71.5 eV per cell.

The space group is F-43m (No. 216) and the conventional cell measures 7.3985, 7.3985 and 7.3985 Å, with angles of 90.00, 90.00 and 90.00 degrees. The inequivalent atoms are Pr at (0.0000, 0.0000, 0.0000), Ge at (0.2500, 0.2500, 0.7500), Pb at (0.0000, 0.0000, 0.5000) and Au at (0.2500, 0.2500, 0.2500).

[11]
Density functional theory data (PBE) for a relaxed Ti4CN2 crystal.

The value obtained for the raw formation energy is -1.27 eV/atom. The calculation puts the energy above the most stable polymorph in this dataset at 0 meV/atom. The calculation puts the total energy at -265.3 eV per cell.

The space group is Cmcm (No. 63) and the conventional cell measures 3.0093, 9.8505 and 10.1156 Å, with angles of 90.00, 90.00 and 90.00 degrees. The inequivalent atoms are Ti at (0.0000, 0.0000, 0.0000), Ti at (0.0000, 0.2764, 0.1190), Ti at (0.0000, 0.4493, 0.7500), C at (0.0000, 0.1019, 0.7500) and N at (0.0000, 0.3628, 0.5655).

[12]
Density functional theory data (PBE) for a relaxed Pd4F crystal.

The value obtained for the raw formation energy is 0.36 eV/atom. The calculation puts the total energy at -20.9 eV per cell.

The space group is Pm-3m (No. 221) and the conventional cell measures 4.3193, 4.3193 and 4.3193 Å, with angles of 90.00, 90.00 and 90.00 degrees. The inequivalent atoms are Pd at (0.0000, 0.0000, 0.0000), Pd at (0.0000, 0.5000, 0.5000) and F at (0.5000, 0.5000, 0.5000).

[13]
Density functional theory data (PBE) for a relaxed Fe2CoSi crystal.

The value obtained for the raw formation energy is -0.19 eV/atom. The calculation puts the total energy at -60.4 eV per cell.

The space group is Cmmm (No. 65) and the conventional cell measures 4.9047, 6.9184 and 2.6253 Å, with angles of 90.00, 90.00 and 90.00 degrees. The inequivalent atoms are Fe at (0.2500, 0.2500, 0.0000), Co at (0.0000, 0.0000, 0.5000) and Si at (0.0000, 0.5000, 0.5000).

[14]
Density functional theory data (PBE) for a relaxed Dy4Cd3Pb crystal.

The value obtained for the energy of formation is -0.362 eV per atom. The calculation puts the total energy at -55.5 eV per cell.

The space group is Pmma (No. 51) and the conventional cell measures 10.6575, 7.4907 and 5.3275 Å, with angles of 90.00, 90.00 and 90.00 degrees. The inequivalent atoms are Dy at (0.0000, 0.2455, 0.0000), Dy at (0.2500, 0.2455, 0.4990), Cd at (0.0000, 0.0000, 0.5000), Cd at (0.2500, 0.0000, 0.9990), Cd at (0.2500, 0.5000, 0.9990) and Pb at (0.0000, 0.5000, 0.5000).

[15]
Density functional theory data (PBE) for a relaxed NbB3N crystal.

The value obtained for the raw formation energy is 1.29 eV/atom. The calculation puts the energy above the most stable polymorph in this dataset at 0 meV/atom. The calculation puts the total energy at -32.0 eV per cell.

The space group is Pm-3m (No. 221) and the conventional cell measures 3.5356, 3.5356 and 3.5356 Å, with angles of 90.00, 90.00 and 90.00 degrees. The inequivalent atoms are Nb at (0.0000, 0.0000, 0.0000), B at (0.0000, 0.5000, 0.5000) and N at (0.5000, 0.5000, 0.5000).

[16]
Density functional theory data (PBE) for a relaxed Co2MoSeN crystal.

The value obtained for the raw formation energy is 0.52 eV/atom. The calculation puts the total energy at -34.3 eV per cell.

The space group is P4/mmm (No. 123) and the conventional cell measures 3.5869, 3.5869 and 5.3775 Å, with angles of 90.00, 90.00 and 90.00 degrees. The inequivalent atoms are Co at (0.0000, 0.5000, 0.0000), Mo at (0.0000, 0.0000, 0.5000), Se at (0.5000, 0.5000, 0.5000) and N at (0.5000, 0.5000, 0.0000).

[17]
Density functional theory data (PBE) for a relaxed DyY14Tl crystal.

The value obtained for the energy of formation is -0.010 eV per atom. The calculation puts the total energy at -195.3 eV per cell.

The space group is Amm2 (No. 38) and the conventional cell measures 10.8984, 8.4576 and 11.0393 Å, with angles of 90.00, 90.00 and 90.00 degrees. The inequivalent atoms are Dy at (0.0000, 0.0000, 0.0000), Y at (0.0000, 0.2057, 0.2698), Y at (0.2219, 0.0000, 0.7687), Y at (0.2415, 0.2078, 0.4863), Y at (0.2742, 0.0000, 0.2049), Y at (0.5000, 0.0000, 0.4272), Y at (0.5000, 0.0000, 0.9777), Y at (0.5000, 0.2006, 0.7072) and Tl at (0.0000, 0.0000, 0.5538).

[18]
Density functional theory data (PBE) for a relaxed SrZrCu2Cl8 crystal.

The value obtained for the raw formation energy is -1.48 eV/atom. The calculation puts the total energy at -50.9 eV per cell.

The space group is P-1 (No. 2) and the conventional cell measures 6.3532, 6.8825 and 8.3540 Å, with angles of 69.26, 89.51 and 81.30 degrees. The inequivalent atoms are Sr at (0.0000, 0.0000, 0.0000), Zr at (0.0000, 0.0000, 0.5000), Cu at (0.4985, 0.6509, 0.8256), Cl at (0.1286, 0.2133, 0.6539), Cl at (0.1387, 0.2260, 0.2199), Cl at (0.3466, 0.7583, 0.5627) and Cl at (0.4061, 0.7237, 0.0653).

[19]
Density functional theory data (PBE) for a relaxed Er6In2Ru crystal.

The value obtained for the energy of formation is -0.370 eV per atom. The calculation puts the total energy at -45.5 eV per cell.

The space group is P-62m (No. 189) and the conventional cell measures 8.5433, 8.5433 and 3.8174 Å, with angles of 90.00, 90.00 and 120.00 degrees. The inequivalent atoms are Er at (0.0000, 0.3878, 0.0000), Er at (0.0000, 0.7577, 0.5000), In at (0.3333, 0.6667, 0.5000) and Ru at (0.0000, 0.0000, 0.0000).

[20]
Density functional theory data (PBE) for a relaxed Tm2Ti2Ni15 crystal.

The value obtained for the energy of formation is -0.322 eV per atom. The calculation puts the total energy at -352.7 eV per cell.

The space group is R-3m (No. 166, hexagonal axes) and the conventional cell measures 8.2884, 8.2884 and 12.3411 Å, with angles of 90.00, 90.00 and 120.00 degrees. The inequivalent atoms are Tm at (0.0000, 0.0000, 0.1504), Ti at (0.0000, 0.0000, 0.3982), Ni at (0.0000, 0.3007, 0.5000), Ni at (0.0000, 0.5000, 0.0000) and Ni at (0.0005, 0.5003, 0.6558).